1.
BeCoW2 | PBE | relaxed

Calculated values
As for the crystal system: tetragonal. For the energy of formation from the pure elements, the calculation gives 0.70 eV/f.u. The space-group type is P4mm. The magnetization comes out at 0.01 μB/f.u. For the density of states at the Fermi level, the calculation gives 4.234 states/eV/f.u. The calculated total energy comes out at -9.01 eV/atom.

Lattice parameters (Å, degrees): 3.112 3.112 5.417 90.00 90.00 90.00
Positions (direct):
1 Co 0.500 0.500 0.727
2 Be 0.000 0.000 0.508
3 W 0.000 0.000 0.991
4 W 0.500 0.500 0.273

---

2.
ScTa2TiAs | PBE | relaxed

Calculated values
As for the crystal system: tetragonal. For the energy of formation from the pure elements, the calculation gives 8.32 eV/f.u. The space-group type is P4/mmm. The magnetization comes out at 0.28 μB/f.u. For the density of states at the Fermi level, the calculation gives 7.161 states/eV/f.u. The calculated total energy comes out at -6.85 eV/atom.

Lattice parameters (Å, degrees): 4.838 4.456 4.838 90.00 90.00 90.00
Last column: magnetic moment on the atom in μB.
Positions (direct):
1 Ta 0.500 0.000 0.000  0.00
2 Ta 0.000 0.000 0.500  0.00
3 As 0.500 0.500 0.500  0.00
4 Sc 0.000 0.000 0.000  0.06
5 Ti 0.000 0.500 0.000  0.20

---

3.
SrTmPt | PBE | relaxed

Calculated values
As for the crystal system: hexagonal. For the energy of formation from the pure elements, the calculation gives -2.29 eV/f.u. The space-group type is P-62m. The magnetization comes out at 0.00 μB/f.u. For the density of states at the Fermi level, the calculation gives 2.618 states/eV/f.u. The calculated total energy comes out at -4.83 eV/atom.

Lattice parameters (Å, degrees): 7.708 9.069 9.069 63.59 64.85 64.85
Positions (direct):
1 Tm 0.257 0.875 0.874
2 Tm 0.006 0.626 0.625
3 Tm 0.257 0.374 0.375
4 Tm 0.507 0.000 0.000
5 Tm 0.507 0.500 0.500
6 Tm 0.006 0.125 0.126
7 Sr 0.670 0.543 0.043
8 Sr 0.670 0.044 0.544
9 Sr 0.844 0.750 0.250
10 Sr 0.257 0.457 0.957
11 Sr 0.257 0.956 0.456
12 Sr 0.843 0.250 0.750
13 Pt 0.590 0.667 0.666
14 Pt 0.257 0.250 0.750
15 Pt 0.590 0.166 0.167
16 Pt 0.923 0.333 0.334
17 Pt 0.923 0.834 0.833
18 Pt 0.257 0.750 0.250

---

4.
Li3Al4Zn2 | PBE | relaxed

Calculated values
As for the crystal system: monoclinic. For the energy of formation from the pure elements, the calculation gives -0.83 eV/f.u. The space-group type is C2/c. The magnetization comes out at 0.00 μB/f.u. For the density of states at the Fermi level, the calculation gives 3.539 states/eV/f.u. The calculated total energy comes out at -2.68 eV/atom.

Lattice parameters (Å, degrees): 5.880 7.715 7.715 59.84 90.07 90.07
Positions (direct):
1 Al 0.999 0.828 0.505
2 Al 0.500 0.833 0.173
3 Al 0.000 0.827 0.167
4 Al 0.000 0.173 0.833
5 Al 0.501 0.495 0.172
6 Al 0.499 0.505 0.828
7 Al 0.500 0.167 0.827
8 Al 0.001 0.172 0.495
9 Zn 0.999 0.501 0.837
10 Zn 0.501 0.163 0.499
11 Zn 0.499 0.837 0.501
12 Zn 0.001 0.499 0.163
13 Li 0.250 0.169 0.169
14 Li 0.250 0.831 0.831
15 Li 0.750 0.169 0.169
16 Li 0.750 0.500 0.500
17 Li 0.750 0.831 0.831
18 Li 0.250 0.500 0.500

---

Question: Which value of calculated total energy does entry 3 give?
Answer: -4.83 eV/atom

---

Question: Which value of calculated total energy does entry 4 give?
Answer: -2.68 eV/atom